Material: KRu2Rh
Method: DFT, PBE-GGA
State: optimized geometry

Unit cell a=4.966 b=4.966 c=2.752 alpha=90.00 beta=90.00 gamma=90.00
Fractional positions:
K: 0.000 0.000 0.000
Ru: 0.000 0.500 0.500
Ru: 0.500 0.000 0.500
Rh: 0.500 0.500 0.000

Spin magnetization   2.9 μB per formula unit
Raw total energy   -5.43 eV per atom
Space group   P4/mmm, No. 123
ΔH_f (0 K)   1.315 eV/atom

Material: ZnFeCo2H
Method: DFT, PBE-GGA
State: optimized geometry

Unit cell a=3.665 b=3.665 c=3.663 alpha=90.00 beta=90.00 gamma=90.00
Fractional positions:
Zn: 0.000 0.000 0.000
Fe: 0.500 0.500 0.000
Co: 0.000 0.500 0.500
Co: 0.500 0.000 0.500
H: 0.000 0.000 0.500

Spin magnetization   5.1 μB per formula unit
Raw total energy   -5.34 eV per atom
Space group   P4/mmm, No. 123

Material: PrNi6Ge4
Method: DFT, PBE-GGA
State: optimized geometry

Unit cell a=6.843 b=6.843 c=3.858 alpha=90.00 beta=90.00 gamma=120.00
Fractional positions:
Pr: 0.000 0.000 0.000
Ni: 0.207 0.414 0.500
Ni: 0.207 0.793 0.500
Ni: 0.537 0.075 0.000
Ni: 0.537 0.463 0.000
Ni: 0.586 0.793 0.500
Ni: 0.925 0.463 0.000
Ge: 0.333 0.667 0.000
Ge: 0.390 0.195 0.500
Ge: 0.805 0.195 0.500
Ge: 0.805 0.610 0.500

Spin magnetization   0.0 μB per formula unit
Raw total energy   -5.74 eV per atom
Space group   P-6m2, No. 187
ΔH_f (0 K)   -0.468 eV/atom

Material: KMgTi3
Method: DFT, PBE-GGA
State: optimized geometry

Unit cell a=4.655 b=4.655 c=4.655 alpha=90.00 beta=90.00 gamma=90.00
Fractional positions:
K: 0.000 0.000 0.000
Mg: 0.500 0.500 0.500
Ti: 0.000 0.000 0.500
Ti: 0.000 0.500 0.000
Ti: 0.500 0.000 0.000

Spin magnetization   2.3 μB per formula unit
Raw total energy   -3.43 eV per atom
Space group   Pm-3m, No. 221
ΔH_f (0 K)   1.847 eV/atom

Material: Ba3Zn7Ir2
Method: DFT, PBE-GGA
State: optimized geometry

Unit cell a=13.760 b=13.760 c=13.760 alpha=159.30 beta=159.30 gamma=29.44
Fractional positions:
Ba: 0.000 0.000 0.000
Ba: 0.182 0.182 0.000
Ba: 0.818 0.818 0.000
Zn: 0.091 0.591 0.500
Zn: 0.316 0.316 0.000
Zn: 0.409 0.909 0.500
Zn: 0.500 0.500 0.000
Zn: 0.591 0.091 0.500
Zn: 0.684 0.684 0.000
Zn: 0.909 0.409 0.500
Ir: 0.408 0.408 0.000
Ir: 0.592 0.592 0.000

Spin magnetization   0.0 μB per formula unit
Raw total energy   -2.95 eV per atom
Space group   I4/mmm, No. 139
ΔH_f (0 K)   -0.254 eV/atom

Material: SrZr4Re
Method: DFT, PBE-GGA
State: optimized geometry

Unit cell a=5.828 b=5.828 c=5.828 alpha=60.00 beta=60.00 gamma=60.00
Fractional positions:
Sr: 0.000 0.000 0.000
Zr: 0.132 0.623 0.623
Zr: 0.623 0.132 0.623
Zr: 0.623 0.623 0.132
Zr: 0.623 0.623 0.623
Re: 0.250 0.250 0.250

Spin magnetization   0.0 μB per formula unit
Raw total energy   -7.27 eV per atom
Space group   F-43m, No. 216
ΔH_f (0 K)   0.787 eV/atom

Material: NbSbRh2Se
Method: DFT, PBE-GGA
State: optimized geometry

Unit cell a=4.813 b=4.813 c=4.909 alpha=90.00 beta=90.00 gamma=90.00
Fractional positions:
Nb: 0.000 0.000 0.000
Sb: 0.500 0.500 0.500
Rh: 0.000 0.500 0.000
Rh: 0.500 0.000 0.000
Se: 0.000 0.000 0.500

Spin magnetization   0.0 μB per formula unit
Raw total energy   -5.90 eV per atom
Space group   P4/mmm, No. 123
Formation energy without anion corrections   0.57 eV/atom

Material: RbAl2In
Method: DFT, PBE-GGA
State: optimized geometry

Unit cell a=10.411 b=10.411 c=10.411 alpha=149.57 beta=149.57 gamma=43.58
Fractional positions:
Rb: 0.375 0.625 0.750
Rb: 0.625 0.375 0.250
Al: 0.000 0.000 0.000
Al: 0.000 0.000 0.500
Al: 0.000 0.500 0.000
Al: 0.500 0.000 0.500
In: 0.125 0.875 0.250
In: 0.875 0.125 0.750

Spin magnetization   0.0 μB per formula unit
Raw total energy   -2.50 eV per atom
Space group   I4_1/amd, No. 141
ΔH_f (0 K)   0.302 eV/atom

Material: PmCuAg2F8
Method: DFT, PBE-GGA
State: optimized geometry

Unit cell a=4.037 b=5.455 c=8.063 alpha=87.82 beta=89.43 gamma=87.22
Fractional positions:
Pm: 0.000 0.000 0.000
Cu: 0.000 0.000 0.500
Ag: 0.477 0.484 0.269
Ag: 0.523 0.516 0.731
F: 0.026 0.131 0.283
F: 0.029 0.344 0.825
F: 0.353 0.762 0.464
F: 0.499 0.213 0.059
F: 0.501 0.787 0.941
F: 0.647 0.238 0.536
F: 0.971 0.656 0.175
F: 0.974 0.869 0.717

Spin magnetization   0.1 μB per formula unit
Raw total energy   -4.63 eV per atom
Space group   P-1, No. 2
Formation energy without anion corrections   -2.17 eV/atom

Material: CsV2PdI
Method: DFT, PBE-GGA
State: optimized geometry

Unit cell a=5.786 b=5.786 c=5.242 alpha=90.00 beta=90.00 gamma=90.00
Fractional positions:
Cs: 0.000 0.000 0.000
V: 0.000 0.500 0.000
V: 0.500 0.000 0.000
Pd: 0.000 0.000 0.500
I: 0.500 0.500 0.500

Spin magnetization   9.1 μB per formula unit
Raw total energy   -3.20 eV per atom
Space group   P4/mmm, No. 123
Formation energy without anion corrections   1.96 eV/atom

Material: Nd2Ga4CoIr3
Method: DFT, PBE-GGA
State: optimized geometry

Unit cell a=4.248 b=4.248 c=10.266 alpha=90.00 beta=90.00 gamma=90.00
Fractional positions:
Nd: 0.000 0.500 0.238
Nd: 0.500 0.000 0.762
Ga: 0.000 0.000 0.500
Ga: 0.000 0.500 0.880
Ga: 0.500 0.000 0.120
Ga: 0.500 0.500 0.500
Co: 0.500 0.500 0.000
Ir: 0.000 0.000 0.000
Ir: 0.000 0.500 0.635
Ir: 0.500 0.000 0.365

Spin magnetization   0.0 μB per formula unit
Raw total energy   -6.16 eV per atom
Space group   P-4m2, No. 115
ΔH_f (0 K)   -0.625 eV/atom

Material: LaTaHg3
Method: DFT, PBE-GGA
State: optimized geometry

Unit cell a=5.702 b=5.702 c=5.702 alpha=90.00 beta=90.00 gamma=90.00
Fractional positions:
La: 0.000 0.000 0.000
Ta: 0.500 0.500 0.500
Hg: 0.000 0.000 0.500
Hg: 0.000 0.500 0.000
Hg: 0.500 0.000 0.000

Spin magnetization   0.0 μB per formula unit
Raw total energy   -1.85 eV per atom
Space group   Pm-3m, No. 221
ΔH_f (0 K)   1.682 eV/atom